(1)
KMgIrPt2: relaxed, GGA-PBE.

Unit cell a=4.9171 b=4.9171 c=5.5267 alpha=90.00 beta=90.00 gamma=90.00
Space group P4/mmm (No. 123)
One atom of each set of equivalent atoms:
K: 0.0000 0.0000 0.0000 [1 per cell]
Mg: 0.5000 0.5000 0.0000 [1 per cell]
Ir: 0.0000 0.0000 0.5000 [1 per cell]
Pt: 0.0000 0.5000 0.5000 [2 per cell]

Properties
The total energy comes out at -0.28448 Ry/atom.

(2)
PrNd5Bi5: relaxed, GGA-PBE.

Unit cell a=14.4128 b=6.4797 c=9.1408 alpha=90.00 beta=108.43 gamma=90.00
Space group C2/m (No. 12)
One atom of each set of equivalent atoms:
Pr: 0.0000 0.0000 0.0000 [2 per cell]
Nd: 0.0000 0.0000 0.5000 [2 per cell]
Nd: 0.1655 0.5000 0.8321 [4 per cell]
Nd: 0.1662 0.5000 0.3339 [4 per cell]
Bi: 0.0000 0.5000 0.0000 [2 per cell]
Bi: 0.1673 0.0000 0.3363 [4 per cell]
Bi: 0.1693 0.0000 0.8319 [4 per cell]

Properties
The total energy comes out at -0.37732 Ry/atom.

(3)
LiBiPbW2: relaxed, GGA-PBE.

Unit cell a=4.6902 b=4.6902 c=4.5198 alpha=90.00 beta=90.00 gamma=90.00
Space group P4/mmm (No. 123)
One atom of each set of equivalent atoms:
Li: 0.0000 0.0000 0.0000 [1 per cell]
Bi: 0.0000 0.0000 0.5000 [1 per cell]
Pb: 0.5000 0.5000 0.5000 [1 per cell]
W: 0.0000 0.5000 0.0000 [2 per cell]

Properties
The total energy comes out at -0.39855 Ry/atom.

(4)
Fe2CoSb8: relaxed, GGA-PBE.

Unit cell a=13.8087 b=8.3025 c=4.8450 alpha=90.00 beta=94.70 gamma=90.00
Space group C2/m (No. 12)
One atom of each set of equivalent atoms:
Fe: 0.1781 0.0000 0.2792 [4 per cell]
Co: 0.0000 0.0000 0.5000 [2 per cell]
Sb: 0.0719 0.2434 0.2540 [8 per cell]
Sb: 0.1443 0.5000 0.6673 [4 per cell]
Sb: 0.1668 0.0000 0.7787 [4 per cell]

Properties
The value obtained for the energy relative to the lowest polymorph listed for this composition is 0 kJ/mol of formula units. Its energy relative to the elements, uncorrected is 0.16 eV per atom.

(5)
CeInPb2: relaxed, GGA-PBE.

Unit cell a=5.2937 b=5.2937 c=14.7843 alpha=90.00 beta=90.00 gamma=120.00
Space group R-3m (No. 166, hexagonal axes)
One atom of each set of equivalent atoms:
Ce: 0.0000 0.0000 0.0000 [3 per cell]
In: 0.0000 0.0000 0.5000 [3 per cell]
Pb: 0.0000 0.0000 0.2406 [6 per cell]

Properties
The value obtained for the energy relative to the lowest polymorph listed for this composition is 107 kJ/mol of formula units.

(6)
SrSb2Pd2: relaxed, GGA-PBE.

Unit cell a=8.1488 b=8.1488 c=3.4258 alpha=90.00 beta=90.00 gamma=90.00
Space group P4/mbm (No. 127)
One atom of each set of equivalent atoms:
Sr: 0.0000 0.0000 0.0000 [2 per cell]
Sb: 0.1641 0.3359 0.5000 [4 per cell]
Pd: 0.1231 0.6231 0.0000 [4 per cell]

Properties
Its energy relative to the elements, uncorrected is -0.50 eV per atom.

(7)
Ho3Er2: relaxed, GGA-PBE.

Unit cell a=6.5693 b=15.6051 c=6.0750 alpha=90.00 beta=90.00 gamma=90.00
Space group Ibam (No. 72)
One atom of each set of equivalent atoms:
Ho: 0.0000 0.0000 0.2500 [4 per cell]
Ho: 0.1163 0.4072 0.0000 [8 per cell]
Er: 0.1481 0.1920 0.0000 [8 per cell]

Properties
The total energy comes out at -0.32581 Ry/atom.

(8)
ZrCuTc3: relaxed, GGA-PBE.

Unit cell a=4.4794 b=4.4794 c=4.4794 alpha=90.00 beta=90.00 gamma=90.00
Space group Pm-3m (No. 221)
One atom of each set of equivalent atoms:
Zr: 0.0000 0.0000 0.0000 [1 per cell]
Cu: 0.5000 0.5000 0.5000 [1 per cell]
Tc: 0.0000 0.5000 0.5000 [3 per cell]

Properties
The value obtained for the energy relative to the lowest polymorph listed for this composition is 0 kJ/mol of formula units.

(9)
Ca2BH6: relaxed, GGA-PBE.

Unit cell a=6.7956 b=6.7956 c=6.7956 alpha=90.00 beta=90.00 gamma=90.00
Space group Fm-3m (No. 225)
One atom of each set of equivalent atoms:
Ca: 0.2500 0.2500 0.2500 [8 per cell]
B: 0.0000 0.0000 0.0000 [4 per cell]
H: 0.0000 0.0000 0.2154 [24 per cell]

Properties
The value obtained for the energy relative to the lowest polymorph listed for this composition is 57 kJ/mol of formula units.

(10)
Tl8SnTe6Pb: relaxed, GGA-PBE.

Unit cell a=8.9396 b=8.9396 c=13.3504 alpha=90.00 beta=90.00 gamma=90.00
Space group I4/m (No. 87)
One atom of each set of equivalent atoms:
Tl: 0.1438 0.6483 0.1587 [16 per cell]
Sn: 0.0000 0.0000 0.0000 [2 per cell]
Te: 0.0000 0.0000 0.2471 [4 per cell]
Te: 0.1621 0.3330 0.0000 [8 per cell]
Pb: 0.0000 0.0000 0.5000 [2 per cell]

Properties
Its energy relative to the elements, uncorrected is -0.31 eV per atom.

(11)
Sr2ZrSi2: relaxed, GGA-PBE.

Unit cell a=7.3272 b=7.3272 c=4.9475 alpha=90.00 beta=90.00 gamma=90.00
Space group P4/mbm (No. 127)
One atom of each set of equivalent atoms:
Sr: 0.1758 0.3242 0.0000 [4 per cell]
Zr: 0.0000 0.0000 0.5000 [2 per cell]
Si: 0.1209 0.6209 0.5000 [4 per cell]

Properties
Its energy relative to the elements, uncorrected is -0.24 eV per atom.

(12)
ErTmGeAu: relaxed, GGA-PBE.

Unit cell a=7.1077 b=7.1077 c=7.1077 alpha=90.00 beta=90.00 gamma=90.00
Space group F-43m (No. 216)
One atom of each set of equivalent atoms:
Er: 0.0000 0.0000 0.0000 [4 per cell]
Tm: 0.0000 0.0000 0.5000 [4 per cell]
Ge: 0.2500 0.2500 0.7500 [4 per cell]
Au: 0.2500 0.2500 0.2500 [4 per cell]

Properties
The value obtained for the energy relative to the lowest polymorph listed for this composition is 47 kJ/mol of formula units.

What did the fourth record say?
Fe2CoSb8: relaxed, GGA-PBE.

Unit cell a=13.8087 b=8.3025 c=4.8450 alpha=90.00 beta=94.70 gamma=90.00
Space group C2/m (No. 12)
One atom of each set of equivalent atoms:
Fe: 0.1781 0.0000 0.2792 [4 per cell]
Co: 0.0000 0.0000 0.5000 [2 per cell]
Sb: 0.0719 0.2434 0.2540 [8 per cell]
Sb: 0.1443 0.5000 0.6673 [4 per cell]
Sb: 0.1668 0.0000 0.7787 [4 per cell]

Properties
The value obtained for the energy relative to the lowest polymorph listed for this composition is 0 kJ/mol of formula units. Its energy relative to the elements, uncorrected is 0.16 eV per atom.